Entry from Alexandria via LeMat-Bulk: a geometry-optimized Y2Cd3Ag structure (PBE-GGA).

The structure in CIF format:
```
data_Y2Cd3Ag
_chemical_formula_sum 'Y16 Cd24 Ag8'
_symmetry_space_group_name_H-M 'F m m m'
_symmetry_Int_Tables_number 69
_symmetry_space_group_name_Hall '-F 2 2'
_cell_length_a 6.850
_cell_length_b 9.833
_cell_length_c 17.093
_cell_angle_alpha 90.00
_cell_angle_beta 90.00
_cell_angle_gamma 90.00
loop_
_atom_site_label
_atom_site_fract_x
_atom_site_fract_y
_atom_site_fract_z
Y1 0.247 0.000 0.000
Y2 0.250 0.250 0.250
Cd1 0.000 0.000 0.332
Cd2 0.000 0.248 0.084
Ag1 0.000 0.000 0.167
```

# Pm12NdY7 | Alexandria via LeMat-Bulk | PBE-GGA | optimized geometry
data_Pm12NdY7
_chemical_formula_sum 'Pm24 Nd2 Y14'
_symmetry_space_group_name_H-M 'I m -3 m'
_symmetry_Int_Tables_number 229
_symmetry_space_group_name_Hall '-I 4 2 3'
_cell_length_a 11.534
_cell_length_b 11.534
_cell_length_c 11.534
_cell_angle_alpha 90.00
_cell_angle_beta 90.00
_cell_angle_gamma 90.00
loop_
_atom_site_label
_atom_site_fract_x
_atom_site_fract_y
_atom_site_fract_z
Pm1 0.000 0.253 0.253
Nd1 0.000 0.000 0.000
Y1 0.000 0.000 0.500
Y2 0.250 0.250 0.250
# * offset from the most stable computed form: 1127 kJ/mol of formula units

Entry from Alexandria via LeMat-Bulk: a geometry-optimized SrGa4NiRh2 structure (PBE-GGA).

The structure in CIF format:
```
data_SrGa4NiRh2
_chemical_formula_sum 'Sr3 Ga12 Ni3 Rh6'
_symmetry_space_group_name_H-M 'R -3 m'
_symmetry_Int_Tables_number 166
_symmetry_space_group_name_Hall '-R 3 2"'
_cell_length_a 4.2231
_cell_length_b 4.2231
_cell_length_c 27.8928
_cell_angle_alpha 90.00
_cell_angle_beta 90.00
_cell_angle_gamma 120.00
loop_
_atom_site_label
_atom_site_fract_x
_atom_site_fract_y
_atom_site_fract_z
Sr1 0.0000 0.0000 0.0000
Ga1 0.0000 0.0000 0.1346
Ga2 0.0000 0.0000 0.4084
Ni1 0.0000 0.0000 0.5000
Rh1 0.0000 0.0000 0.2268
```

Calculated values (eV per atom) of formation energy for the records, taken in order: -0.3170; 0.6824; -0.5423.
Calculated values (states/eV/f.u.) of N(E_F) for the records, taken in order: 4.942; 26.897; 4.683.